<one>
BaRe2I: relaxed, PBE.

Geometry as POSCAR:
```
BaRe2I
1.0
7.006 0.000 0.000
0.000 7.006 0.000
0.000 0.000 7.006
Ba Re I
4 8 4
direct
0.000 0.000 0.000 Ba
0.000 0.500 0.500 Ba
0.500 0.000 0.500 Ba
0.500 0.500 0.000 Ba
0.250 0.250 0.250 Re
0.250 0.250 0.750 Re
0.250 0.750 0.250 Re
0.250 0.750 0.750 Re
0.750 0.250 0.250 Re
0.750 0.250 0.750 Re
0.750 0.750 0.250 Re
0.750 0.750 0.750 Re
0.000 0.000 0.500 I
0.000 0.500 0.000 I
0.500 0.000 0.000 I
0.500 0.500 0.500 I
```

crystal system = cubic


<two>
BaRe2I: relaxed, PBE.

Geometry as POSCAR:
```
BaRe2I
1.0
4.976 0.000 0.000
0.000 4.976 0.000
0.000 0.000 18.745
Ba Re I
4 8 4
direct
0.000 0.000 0.000 Ba
0.000 0.500 0.250 Ba
0.500 0.000 0.750 Ba
0.500 0.500 0.500 Ba
0.045 0.750 0.625 Re
0.250 0.045 0.375 Re
0.250 0.455 0.875 Re
0.455 0.750 0.125 Re
0.545 0.250 0.125 Re
0.750 0.545 0.875 Re
0.750 0.955 0.375 Re
0.955 0.250 0.625 Re
0.000 0.000 0.500 I
0.000 0.500 0.750 I
0.500 0.000 0.250 I
0.500 0.500 0.000 I
```

crystal system = tetragonal


Stability ranking, top and bottom: <two> is the most stable and <one> is the least stable.


<one>
BaReSb2I: relaxed, PBE.

Geometry as POSCAR:
```
BaReSb2I
1.0
5.180 0.000 0.000
0.000 5.180 0.000
0.000 0.000 6.080
Ba Re Sb I
1 1 2 1
direct
0.000 0.000 0.000 Ba
0.500 0.500 0.500 Re
0.000 0.500 0.500 Sb
0.500 0.000 0.500 Sb
0.500 0.500 0.000 I
```

crystal system = tetragonal


<two>
BaReSb2I: relaxed, PBE.

Geometry as POSCAR:
```
BaReSb2I
1.0
6.001 0.000 0.000
0.000 6.001 0.000
0.000 0.000 5.055
Ba Re Sb I
1 1 2 1
direct
0.000 0.000 0.000 Ba
0.500 0.500 0.000 Re
0.000 0.500 0.500 Sb
0.500 0.000 0.500 Sb
0.500 0.500 0.500 I
```

crystal system = tetragonal


Stability ranking, top and bottom: <one> is the most stable and <two> is the least stable.


<one>
BaReTe2I: relaxed, PBE.

Geometry as POSCAR:
```
BaReTe2I
1.0
6.610 0.000 0.000
0.000 6.610 0.000
0.000 0.000 6.574
Ba Re Te I
1 1 2 1
direct
0.000 0.000 0.000 Ba
0.500 0.500 0.500 Re
0.000 0.500 0.000 Te
0.500 0.000 0.000 Te
0.000 0.000 0.500 I
```

crystal system = tetragonal


<two>
BaReTe2I: relaxed, PBE.

Geometry as POSCAR:
```
BaReTe2I
1.0
5.331 0.000 0.000
0.000 5.331 0.000
0.000 0.000 5.798
Ba Re Te I
1 1 2 1
direct
0.000 0.000 0.000 Ba
0.500 0.500 0.500 Re
0.000 0.500 0.500 Te
0.500 0.000 0.500 Te
0.500 0.500 0.000 I
```

crystal system = tetragonal


Stability ranking, top and bottom: <two> is the most stable and <one> is the least stable.


<one>
Ba2RhI: relaxed, PBE.

Geometry as POSCAR:
```
Ba2RhI
1.0
8.146 0.000 0.000
0.000 8.146 0.000
0.000 0.000 8.146
Ba Rh I
8 4 4
direct
0.250 0.250 0.250 Ba
0.250 0.250 0.750 Ba
0.250 0.750 0.250 Ba
0.250 0.750 0.750 Ba
0.750 0.250 0.250 Ba
0.750 0.250 0.750 Ba
0.750 0.750 0.250 Ba
0.750 0.750 0.750 Ba
0.000 0.000 0.000 Rh
0.000 0.500 0.500 Rh
0.500 0.000 0.500 Rh
0.500 0.500 0.000 Rh
0.000 0.000 0.500 I
0.000 0.500 0.000 I
0.500 0.000 0.000 I
0.500 0.500 0.500 I
```

crystal system = cubic


<two>
Ba2RhI: relaxed, PBE.

Geometry as POSCAR:
```
Ba2RhI
1.0
3.968 0.000 0.000
0.000 3.968 0.000
0.000 0.000 8.710
Ba Rh I
2 1 1
direct
0.000 0.000 0.207 Ba
0.000 0.000 0.793 Ba
0.500 0.500 0.000 Rh
0.500 0.500 0.500 I
```

crystal system = tetragonal


<three>
Ba2RhI: relaxed, PBE.

Geometry as POSCAR:
```
Ba2RhI
1.0
4.631 0.000 0.000
-2.315 4.010 0.000
0.000 0.000 25.436
Ba Rh I
6 3 3
direct
0.000 0.000 0.232 Ba
0.000 0.000 0.768 Ba
0.333 0.667 0.434 Ba
0.333 0.667 0.899 Ba
0.667 0.333 0.101 Ba
0.667 0.333 0.566 Ba
0.000 0.000 0.500 Rh
0.333 0.667 0.167 Rh
0.667 0.333 0.833 Rh
0.000 0.000 0.000 I
0.333 0.667 0.667 I
0.667 0.333 0.333 I
```

crystal system = trigonal


Stability ranking, top and bottom: <three> is the most stable and <one> is the least stable.


<one>
Ba2RhI: relaxed, PBE.

Geometry as POSCAR:
```
Ba2RhI
1.0
4.594 0.000 0.000
-2.297 3.979 0.000
0.000 0.000 25.768
Ba Rh I
6 3 3
direct
0.000 0.000 0.000 Ba
0.000 0.000 0.202 Ba
0.333 0.667 0.667 Ba
0.333 0.667 0.869 Ba
0.667 0.333 0.333 Ba
0.667 0.333 0.536 Ba
0.000 0.000 0.602 Rh
0.333 0.667 0.268 Rh
0.667 0.333 0.935 Rh
0.000 0.000 0.434 I
0.333 0.667 0.101 I
0.667 0.333 0.768 I
```

crystal system = trigonal


<two>
Ba2RhI: relaxed, PBE.

Geometry as POSCAR:
```
Ba2RhI
1.0
8.456 0.000 0.000
0.000 8.456 0.000
0.000 0.000 9.835
Ba Rh I
8 4 4
direct
0.186 0.250 0.125 Ba
0.250 0.686 0.375 Ba
0.250 0.814 0.875 Ba
0.314 0.250 0.625 Ba
0.686 0.750 0.625 Ba
0.750 0.186 0.875 Ba
0.750 0.314 0.375 Ba
0.814 0.750 0.125 Ba
0.000 0.000 0.000 Rh
0.000 0.500 0.250 Rh
0.500 0.000 0.750 Rh
0.500 0.500 0.500 Rh
0.000 0.000 0.500 I
0.000 0.500 0.750 I
0.500 0.000 0.250 I
0.500 0.500 0.000 I
```

crystal system = tetragonal


Stability ranking, top and bottom: <one> is the most stable and <two> is the least stable.


<one>
Ba3RhI2: relaxed, PBE.

Geometry as POSCAR:
```
Ba3RhI2
1.0
8.375 -3.405 0.000
8.375 3.405 0.000
-2.485 0.000 8.780
Ba Rh I
6 2 4
direct
0.001 0.999 0.750 Ba
0.373 0.373 0.436 Ba
0.373 0.373 0.936 Ba
0.627 0.627 0.064 Ba
0.627 0.627 0.564 Ba
0.999 0.001 0.250 Ba
0.500 0.500 0.250 Rh
0.500 0.500 0.750 Rh
0.185 0.185 0.092 I
0.185 0.185 0.592 I
0.815 0.815 0.408 I
0.815 0.815 0.908 I
```

crystal system = monoclinic


<two>
Ba3RhI2: relaxed, PBE.

Geometry as POSCAR:
```
Ba3RhI2
1.0
4.145 -7.170 0.000
4.145 7.170 0.000
-2.799 0.000 8.571
Ba Rh I
6 2 4
direct
0.056 0.432 0.792 Ba
0.194 0.194 0.203 Ba
0.432 0.056 0.792 Ba
0.568 0.944 0.208 Ba
0.806 0.806 0.797 Ba
0.944 0.568 0.208 Ba
0.168 0.832 0.000 Rh
0.832 0.168 0.000 Rh
0.000 0.000 0.500 I
0.346 0.654 0.500 I
0.500 0.500 0.000 I
0.654 0.346 0.500 I
```

crystal system = monoclinic


Stability ranking, top and bottom: <two> is the most stable and <one> is the least stable.